(1)
# Ca2Ga2FeRh5

A relaxed Ca2Ga2FeRh5 crystal (PBE, Alexandria via LeMat-Bulk).

Lattice parameters (Å, degrees): 3.2077 10.2047 10.2047 90.00 90.00 90.00
Closest atoms and distances in Å follow each position.
Atoms (fractional coordinates):
Ca: 0.0000 0.6719 0.1719  3 Ga 2.85-3.12, 10 Rh 2.95-3.18
Ca: 0.0000 0.3281 0.8281  3 Ga 2.85-3.12, 10 Rh 2.95-3.18
Ca: 0.0000 0.1719 0.3281  3 Ga 2.85-3.12, 10 Rh 2.95-3.18
Ca: 0.0000 0.8281 0.6719  3 Ga 2.85-3.12, 10 Rh 2.95-3.18
Ga: 0.0000 0.1309 0.6309  6 Rh 2.48-2.50
Ga: 0.0000 0.8691 0.3691  6 Rh 2.48-2.50
Ga: 0.0000 0.6309 0.8691  6 Rh 2.48-2.50
Ga: 0.0000 0.3691 0.1309  6 Rh 2.48-2.50
Fe: 0.0000 0.0000 0.0000  8 Rh 2.62
Fe: 0.0000 0.5000 0.5000  8 Rh 2.62
Rh: 0.5000 0.1940 0.0617  2 Ga 2.50, 2 Fe 2.62
Rh: 0.5000 0.8060 0.9383  2 Ga 2.50, 2 Fe 2.62
Rh: 0.5000 0.0617 0.8060  2 Ga 2.50, 2 Fe 2.62
Rh: 0.5000 0.6940 0.4383  2 Ga 2.50, 2 Fe 2.62
Rh: 0.5000 0.9383 0.1940  2 Ga 2.50, 2 Fe 2.62
Rh: 0.5000 0.3060 0.5617  2 Ga 2.50, 2 Fe 2.62
Rh: 0.5000 0.5617 0.6940  2 Ga 2.50, 2 Fe 2.62
Rh: 0.5000 0.4383 0.3060  2 Ga 2.50, 2 Fe 2.62
Rh: 0.5000 0.5000 0.0000  4 Ga 2.48
Rh: 0.5000 0.0000 0.5000  4 Ga 2.48

Computed properties:
- final energy (eV per cell) = -119.4
- formation energy (eV/atom) = -0.444



(2)
# LaCd2Co

A relaxed LaCd2Co crystal (PBE, Alexandria via LeMat-Bulk).

Lattice parameters (Å, degrees): 3.3355 3.3355 7.9543 90.00 90.00 90.00
Closest atoms and distances in Å follow each position.
Atoms (fractional coordinates):
Cd: 0.0000 0.0000 0.0340  8 Cd 3.12-3.34
Cd: 0.5000 0.5000 0.2908  4 Co 2.78
Co: 0.0000 0.0000 0.4770  4 Cd 2.78, 4 La 2.94
La: 0.5000 0.5000 0.6982  4 Co 2.94, 1 Cd 3.24

Computed properties:
- final energy (eV per cell) = -13.8
- formation energy (eV/atom) = 0.010



(3)
# ErTcI

A relaxed ErTcI crystal (PBE, Alexandria via LeMat-Bulk).

Lattice parameters (Å, degrees): 4.1098 4.1098 12.7349 80.71 80.71 60.00
Closest atoms and distances in Å follow each position.
Atoms (fractional coordinates):
Er: 0.5566 0.5566 0.3302  6 Tc 3.09-3.29, 3 I 3.15
Er: 0.4434 0.4434 0.6698  6 Tc 3.09-3.29, 3 I 3.15
I: 0.2786 0.2786 0.1641  3 Er 3.15
I: 0.7214 0.7214 0.8359  3 Er 3.15
Tc: 0.8373 0.8373 0.4880  3 Tc 2.39
Tc: 0.1627 0.1627 0.5120  3 Tc 2.39

Computed properties:
- final energy (eV per cell) = -37.2
- raw formation energy (eV/f.u.) = -2.10



(4)
# V3TeCl

A relaxed V3TeCl crystal (PBE, Alexandria via LeMat-Bulk).

Lattice parameters (Å, degrees): 4.3351 4.3351 4.3351 90.00 90.00 90.00
Closest atoms and distances in Å follow each position.
Atoms (fractional coordinates):
V: 0.0000 0.5000 0.0000  2 Cl 2.17
V: 0.0000 0.0000 0.5000  2 Cl 2.17
V: 0.5000 0.0000 0.0000  2 Cl 2.17
Te: 0.5000 0.5000 0.5000  12 V 3.07
Cl: 0.0000 0.0000 0.0000  6 V 2.17

Computed properties:
- final energy (eV per cell) = -29.8
- raw formation energy (eV/f.u.) = 2.52
- polymorph energy (0 for the lowest one) (meV/atom) = 0.0



(5)
# Ga2AsPb2

A relaxed Ga2AsPb2 crystal (PBE, Alexandria via LeMat-Bulk).

Lattice parameters (Å, degrees): 6.9299 6.9299 5.2003 90.00 90.00 90.00
Closest atoms and distances in Å follow each position.
Atoms (fractional coordinates):
Pb: 0.1817 0.6817 0.5000  6 Ga 3.16-3.42
Pb: 0.6817 0.8183 0.5000  6 Ga 3.16-3.42
Pb: 0.8183 0.3183 0.5000  6 Ga 3.16-3.42
Pb: 0.3183 0.1817 0.5000  6 Ga 3.16-3.42
As: 0.0000 0.0000 0.0000  4 Ga 2.70
As: 0.5000 0.5000 0.0000  4 Ga 2.70
Ga: 0.3656 0.8656 0.0000  1 Ga 2.64, 2 As 2.70
Ga: 0.8656 0.6344 0.0000  1 Ga 2.64, 2 As 2.70
Ga: 0.6344 0.1344 0.0000  1 Ga 2.64, 2 As 2.70
Ga: 0.1344 0.3656 0.0000  1 Ga 2.64, 2 As 2.70

Computed properties:
- final energy (eV per cell) = -35.4
- polymorph energy (0 for the lowest one) (meV/atom) = 0.0
- formation energy (eV/atom) = 0.079



(6)
# Ti2VRh

A relaxed Ti2VRh crystal (PBE, Alexandria via LeMat-Bulk).

Lattice parameters (Å, degrees): 3.0390 4.4256 4.4256 90.00 90.00 90.00
Closest atoms and distances in Å follow each position.
Atoms (fractional coordinates):
Ti: 0.0000 0.0000 0.5000  4 Rh 2.68, 4 V 2.68
Ti: 0.0000 0.5000 0.0000  4 Rh 2.68, 4 V 2.68
Rh: 0.5000 0.0000 0.0000  8 Ti 2.68
V: 0.5000 0.5000 0.5000  8 Ti 2.68

Computed properties:
- final energy (eV per cell) = -33.9
- polymorph energy (0 for the lowest one) (meV/atom) = 28.9
- formation energy (eV/atom) = -0.419



(7)
# ZrSOF2

A relaxed ZrSOF2 crystal (PBE, Alexandria via LeMat-Bulk).

Lattice parameters (Å, degrees): 4.3047 4.3047 4.0996 90.00 90.00 90.00
Closest atoms and distances in Å follow each position.
Atoms (fractional coordinates):
S: 0.5000 0.5000 0.5000  8 F 2.97, 4 O 3.04
O: 0.0000 0.0000 0.5000  2 Zr 2.05
Zr: 0.0000 0.0000 0.0000  2 O 2.05, 4 F 2.15
F: 0.0000 0.5000 0.0000  2 Zr 2.15
F: 0.5000 0.0000 0.0000  2 Zr 2.15

Computed properties:
- final energy (eV per cell) = -31.7
- raw formation energy (eV/f.u.) = -10.37
- polymorph energy (0 for the lowest one) (meV/atom) = 0.0



(8)
# Ac3YBi4

A relaxed Ac3YBi4 crystal (PBE, Alexandria via LeMat-Bulk).

Lattice parameters (Å, degrees): 8.2928 8.2864 9.5895 90.00 90.00 109.52
Closest atoms and distances in Å follow each position.
Atoms (fractional coordinates):
Y: 0.7500 0.0000 0.8765  6 Bi 3.27-3.29
Y: 0.2500 0.0000 0.1235  6 Bi 3.27-3.29
Ac: 0.7500 0.0000 0.3731  6 Bi 3.38-3.40
Ac: 0.2500 0.0000 0.6269  6 Bi 3.38-3.40
Ac: 0.7500 0.5000 0.6277  6 Bi 3.38-3.51
Ac: 0.7500 0.5000 0.1237  6 Bi 3.38-3.50
Ac: 0.2500 0.5000 0.3723  6 Bi 3.38-3.51
Ac: 0.2500 0.5000 0.8763  6 Bi 3.38-3.50
Bi: 0.9920 0.2430 0.6326  1 Y 3.29, 5 Ac 3.38-3.51
Bi: 0.5005 0.2344 0.8833  2 Y 3.27-3.28, 4 Ac 3.38-3.50
Bi: 0.4920 0.2430 0.3674  1 Y 3.29, 5 Ac 3.38-3.51
Bi: 0.0005 0.2344 0.1167  2 Y 3.27-3.28, 4 Ac 3.38-3.50
Bi: 0.9995 0.7656 0.8833  2 Y 3.27-3.28, 4 Ac 3.38-3.50
Bi: 0.5080 0.7570 0.6326  1 Y 3.29, 5 Ac 3.38-3.51
Bi: 0.4995 0.7656 0.1167  2 Y 3.27-3.28, 4 Ac 3.38-3.50
Bi: 0.0080 0.7570 0.3674  1 Y 3.29, 5 Ac 3.38-3.51

Computed properties:
- final energy (eV per cell) = -83.9
- formation energy (eV/atom) = -0.953



For the records above, the corresponding V values read 16.7, 22.1, 30.5, 16.3, 25.0, 14.9, 15.2, 38.8 Å³ per atom.